TlAg2 | PBE | optimized geometry

Results
- Crystal system: orthorhombic
- Symmetry: Cmcm, No. 63
- Energy above the lowest structure with this stoichiometry: 0.0521 eV per atom
- Energy of formation: 41 kJ/mol of formula units

Cell lengths 8.132, 8.132, 4.869 Å; angles 90.00, 90.00, 157.07 degrees
Positions (direct):
Tl: 0.110 0.890 0.750
Tl: 0.890 0.110 0.250
Ag: 0.221 0.779 0.250
Ag: 0.442 0.558 0.750
Ag: 0.558 0.442 0.250
Ag: 0.779 0.221 0.750